# PBE+U ScFe2CF, optimized geometry
data_ScFe2CF
_chemical_formula_sum 'Sc1 Fe2 C1 F1'
_space_group_name_H-M_alt 'P 4/m m m'
_space_group_IT_number 123
_space_group_name_Hall '-P 4 2'
_cell_length_a 5.4882
_cell_length_b 5.4882
_cell_length_c 3.9325
_cell_angle_alpha 90.00
_cell_angle_beta 90.00
_cell_angle_gamma 90.00
loop_
_atom_site_label
_atom_site_type_symbol
_atom_site_fract_x
_atom_site_fract_y
_atom_site_fract_z
Sc1 Sc 0.0000 0.0000 0.0000
Fe1 Fe 0.0000 0.5000 0.0000
C1 C 0.0000 0.0000 0.5000
F1 F 0.5000 0.5000 0.5000
# - VASP energy: -0.3256 Ry per atom
# - M_tot: 8.2 Bohr magnetons per cell